DFT (GGA-PBE) results for an optimized crystal structure of Li5Ga3Sn3.

```
11
Lattice="-1.811 2.782 0.308 2.048 2.284 -8.595 -7.418 -5.022 1.743" Properties=species:S:1:pos:R:3 pbc="T T T"
Sn -4.394 -2.974 1.032
Sn 1.213 1.353 -5.091
Sn -2.189 -1.116 -2.794
Ga 0.807 3.301 -7.032
Ga -7.107 -2.808 1.611
Ga -1.786 0.942 -0.969
Li -2.013 1.240 -4.995
Li -4.461 -0.422 -4.383
Li -3.412 -0.306 0.743
Li -5.168 -1.195 -1.549
Li -0.214 2.163 -2.750
```

* mass density: 4.1 Mg/m³
* formation enthalpy at 0 K: -0.135 eV per atom
* D(E_F): 0.409 states/eV/atom
* space group: P-62m

---

DFT (GGA-PBE) results for an optimized crystal structure of LaHo3Co8.

```
12
Lattice="-1.110 3.000 -3.950 -4.471 -0.471 -2.371 -5.204 6.443 3.086" Properties=species:S:1:pos:R:3 pbc="T T T"
Co -6.575 7.081 -2.585
Co -3.948 3.787 -4.203
Co -3.388 2.275 -2.212
Co -8.712 7.773 -1.459
Co -8.845 6.842 -3.789
Co -5.642 2.038 -3.408
Co -3.328 3.301 0.173
Co -8.281 5.318 -1.784
Ho -5.582 2.531 -6.320
Ho -6.644 6.581 0.325
Ho -5.395 4.491 -1.614
La -6.838 4.635 -4.369
```

* mass density: 9.8 Mg/m³
* formation enthalpy at 0 K: -0.167 eV per atom
* D(E_F): 1.434 states/eV/atom
* space group: R3m